The following is a DFT calculation (meta-GGA SCAN) of VPdAu2 at its PBEsol-relaxed geometry.

Values from the calculation:
space-group type	Fm-3m
formation energy from the elements	-0.137	eV/atom
D(E_F)	3.7	states/eV per cell

```
VPdAu2
1.0
4.427 0.000 0.000
2.214 3.834 0.000
2.214 1.278 3.615
Pd Au V
1 2 1
direct
0.500 0.500 0.500
0.750 0.750 0.750
0.250 0.250 0.250
0.000 0.000 0.000
```